MnHgP: relaxed, PBE.

Cell and atoms, written as CIF:
```
data_MnHgP
_cell_length_a 4.3760
_cell_length_b 4.3760
_cell_length_c 4.3760
_cell_angle_alpha 60.00
_cell_angle_beta 60.00
_cell_angle_gamma 60.00
_space_group_name_H-M_alt 'P 1'
_space_group_IT_number 1
loop_
_space_group_symop_operation_xyz
'x,y,z'
loop_
_atom_site_label
_atom_site_type_symbol
_atom_site_fract_x
_atom_site_fract_y
_atom_site_fract_z
_atom_site_occupancy
Hg1 Hg 0.5000 0.5000 0.5000 1
P1 P 0.0000 0.0000 0.0000 1
Mn1 Mn 0.7500 0.7500 0.7500 1
```

Output
space-group type = F-43m (216)
DOS at the Fermi energy = 0.5624 states/eV per atom
formation energy = 6.84 kcal/mol of atoms

MnHgP: relaxed, PBE.

Cell and atoms, written as CIF:
```
data_MnHgP
_cell_length_a 5.8528
_cell_length_b 5.8528
_cell_length_c 3.0871
_cell_angle_alpha 74.71
_cell_angle_beta 74.71
_cell_angle_gamma 30.58
_space_group_name_H-M_alt 'P 1'
_space_group_IT_number 1
loop_
_space_group_symop_operation_xyz
'x,y,z'
loop_
_atom_site_label
_atom_site_type_symbol
_atom_site_fract_x
_atom_site_fract_y
_atom_site_fract_z
_atom_site_occupancy
Mn1 Mn 0.2949 0.2949 0.7051 1
Hg1 Hg 0.9946 0.9946 0.0054 1
P1 P 0.7105 0.7105 0.2895 1
```

Output
space-group type = I4mm (107)
DOS at the Fermi energy = 0.8429 states/eV per atom
formation energy = 2.98 kcal/mol of atoms

One value per record, in order, for energy: -13.99; -14.49 eV/cell.
One value per record, in order, for calculated volume: 59.25; 51.75 Å³/cell.
One value per record, in order, for energy relative to the lowest polymorph listed for this composition: 0.50; 0.00 eV per formula unit.